No. 1
PmLuTe2, optimized geometry, DFT PBE-GGA; space group = No. 225; uncorrected formation energy = -1.12 eV/atom; density = 8.71 g/cm3; spin magnetization = 1.26 μB/cell
1.0
5.372 0.000 0.000
2.686 4.652 0.000
2.686 1.551 4.386
Lu Te Pm
1 2 1
direct
0.500 0.500 0.500 Lu
0.250 0.250 0.250 Te
0.750 0.750 0.750 Te
0.000 0.000 0.000 Pm

No. 2
PmLuTe, optimized geometry, DFT PBE-GGA; space group = No. 107; uncorrected formation energy = -0.76 eV/atom; density = 8.50 g/cm3; spin magnetization = 0.00 μB/cell
1.0
-2.147 1.230 2.993
-1.123 -3.652 0.695
6.167 0.492 1.701
Lu Te Pm
1 1 1
direct
0.318 0.318 0.636 Lu
0.677 0.677 0.354 Te
0.005 0.005 0.010 Pm

No. 3
PmLu2Th, optimized geometry, DFT PBE-GGA; space group = No. 225; calculated formation energy = 0.100 eV/atom; density = 9.55 g/cm3; spin magnetization = 0.00 μB/cell
1.0
5.632 0.000 0.000
2.816 4.878 0.000
2.816 1.626 4.599
Lu Th Pm
2 1 1
direct
0.250 0.250 0.250 Lu
0.750 0.750 0.750 Lu
0.000 0.000 0.000 Th
0.500 0.500 0.500 Pm

No. 4
PmLu2Th, optimized geometry, DFT PBE-GGA; space group = No. 123; calculated formation energy = 0.035 eV/atom; density = 9.69 g/cm3; spin magnetization = 0.00 μB/cell
1.0
4.883 0.000 0.000
0.000 5.050 0.000
0.000 0.000 5.050
Lu Th Pm
2 1 1
direct
0.000 0.000 0.500 Lu
0.000 0.500 0.000 Lu
0.500 0.500 0.500 Th
0.500 0.000 0.000 Pm

No. 5
PmLu2Th, optimized geometry, DFT PBE-GGA; space group = No. 166; calculated formation energy = 0.024 eV/atom; density = 9.69 g/cm3; spin magnetization = 0.00 μB/cell
1.0
3.552 0.000 0.000
1.776 3.076 0.000
1.776 1.025 11.398
Lu Th Pm
2 1 1
direct
0.752 0.752 0.745 Lu
0.248 0.248 0.255 Lu
0.500 0.500 0.500 Th
0.000 0.000 0.000 Pm

No. 6
PmLu4Th, optimized geometry, DFT PBE-GGA; space group = No. 216; calculated formation energy = 0.317 eV/atom; density = 8.96 g/cm3; spin magnetization = 6.36 μB/cell
1.0
-1.313 6.017 -2.256
-5.004 0.932 -4.136
-5.381 3.159 2.022
Lu Th Pm
4 1 1
direct
0.625 0.625 0.125 Lu
0.625 0.125 0.625 Lu
0.625 0.625 0.625 Lu
0.125 0.625 0.625 Lu
0.000 0.000 0.000 Th
0.250 0.250 0.250 Pm

Q: The highest spin magnetization belongs to which entry?
A: PmLu4Th

Q: What is the formula in the sixth record?
A: PmLu4Th